# 1
Computed, not measured: a relaxed RbTbZnSe3 crystal at the PBE level of DFT.

a b c (Å): 9.4593 9.4593 8.9725
angles (deg): 101.17 101.17 26.07
Sites, in units of the cell vectors:
Rb  0.1449  0.1449  0.0664
Rb  0.8551  0.8551  0.9336
Tb  0.1676  0.1676  0.5662
Tb  0.8324  0.8324  0.4338
Zn  0.4744  0.4744  0.2651
Zn  0.5256  0.5256  0.7349
Se  0.0000  0.0000  0.5000
Se  0.3253  0.3253  0.6405
Se  0.3399  0.3399  0.2213
Se  0.5000  0.5000  0.0000
Se  0.6601  0.6601  0.7787
Se  0.6747  0.6747  0.3595

Properties
As for the space-group type: No. 12. The total energy is -49.23 eV/cell.



# 2
Computed, not measured: a relaxed HfCuAgSb crystal at the PBE level of DFT.

a b c (Å): 4.7656 4.7656 4.7656
angles (deg): 60.00 60.00 60.00
Sites, in units of the cell vectors:
Hf  0.0000  0.0000  0.0000
Cu  0.5000  0.5000  0.5000
Ag  0.7500  0.7500  0.7500
Sb  0.2500  0.2500  0.2500

Properties
The calculation puts the excess energy over the best structure of this formula in the dataset at 0.0000 eV per atom. As for the space-group type: No. 216.



# 3
Computed, not measured: a relaxed Y4Nb2Fe3N3 crystal at the PBE level of DFT.

a b c (Å): 5.7822 5.7822 14.1341
angles (deg): 101.58 101.58 60.24
Sites, in units of the cell vectors:
Y  0.0407  0.1945  0.1063
Y  0.1240  0.3003  0.3937
Y  0.1945  0.0407  0.6063
Y  0.3003  0.1240  0.8937
Y  0.6997  0.8760  0.1063
Y  0.8055  0.9593  0.3937
Y  0.8760  0.6997  0.6063
Y  0.9593  0.8055  0.8937
Nb  0.3490  0.5248  0.0746
Nb  0.4752  0.6510  0.4254
Nb  0.5248  0.3490  0.5746
Nb  0.6510  0.4752  0.9254
Fe  0.1897  0.5838  0.2488
Fe  0.3607  0.6393  0.7500
Fe  0.4162  0.8103  0.2512
Fe  0.5838  0.1897  0.7488
Fe  0.6393  0.3607  0.2500
Fe  0.8103  0.4162  0.7512
N  0.0000  0.5000  0.0000
N  0.1774  0.6615  0.5000
N  0.3385  0.8226  0.0000
N  0.5000  0.0000  0.5000
N  0.6615  0.1774  0.0000
N  0.8226  0.3385  0.5000

Properties
As for the space-group type: No. 15. The total energy is -205.87 eV/cell.



# 4
Computed, not measured: a relaxed Lu4CoAsN2 crystal at the PBE level of DFT.

a b c (Å): 3.4012 3.4012 13.4457
angles (deg): 90.00 90.00 120.00
Sites, in units of the cell vectors:
Lu  0.0000  0.0000  0.1417
Lu  0.0000  0.0000  0.8583
Lu  0.3333  0.6667  0.3428
Lu  0.3333  0.6667  0.6572
Co  0.3333  0.6667  0.0000
As  0.0000  0.0000  0.5000
N  0.6667  0.3333  0.2563
N  0.6667  0.3333  0.7437

Properties
As for the space-group type: No. 187. The total energy is -55.12 eV/cell.